No. 1
First-principles (PBE-GGA) data for crystalline Zn2Os at its relaxed geometry, as listed in Alexandria via LeMat-Bulk.

Summary:
Magnetization = 0.00 μB/cell
SG = No. 189
ΔH_f (0 K) = 0.23 eV/atom

Lattice parameters (Å, degrees): 7.5756 7.5756 2.6257 90.00 90.00 120.00
Fractional coordinates of all 9 atoms:
Zn (0.6315, 0.0000, 0.5000)
Zn (0.0000, 0.6315, 0.5000)
Zn (0.0000, 0.3030, 0.0000)
Zn (0.6970, 0.6970, 0.0000)
Zn (0.3030, 0.0000, 0.0000)
Zn (0.3685, 0.3685, 0.5000)
Os (0.6667, 0.3333, 0.0000)
Os (0.0000, 0.0000, 0.5000)
Os (0.3333, 0.6667, 0.0000)



No. 2
First-principles (PBE-GGA) data for crystalline Ac3CePr2N6 at its relaxed geometry, as listed in Alexandria via LeMat-Bulk.

Summary:
E_form (uncorrected) = -116.2 kJ per mole of atoms
Magnetization = 0.00 μB/cell
SG = No. 12

Lattice parameters (Å, degrees): 6.5126 6.5126 6.5686 99.53 99.53 119.94
Fractional coordinates of all 12 atoms:
Ac (0.5000, 0.5000, 0.5000)
Ac (0.1666, 0.8334, 0.5000)
Ac (0.8334, 0.1666, 0.5000)
N (0.7600, 0.7600, 0.2351)
N (0.9243, 0.6082, 0.7723)
N (0.6082, 0.9243, 0.7723)
N (0.0757, 0.3918, 0.2277)
N (0.2400, 0.2400, 0.7649)
N (0.3918, 0.0757, 0.2277)
Ce (0.0000, 0.0000, 0.0000)
Pr (0.6670, 0.3330, 0.0000)
Pr (0.3330, 0.6670, 0.0000)



No. 3
First-principles (PBE-GGA) data for crystalline PrScRhAu at its relaxed geometry, as listed in Alexandria via LeMat-Bulk.

Summary:
Magnetization = 0.00 μB/cell
SG = No. 216
ΔH_f (0 K) = -0.66 eV/atom

Lattice parameters (Å, degrees): 4.9634 4.9634 4.9634 60.00 60.00 60.00
Fractional coordinates of all 4 atoms:
Sc (0.2500, 0.2500, 0.2500)
Rh (0.5000, 0.5000, 0.5000)
Pr (0.7500, 0.7500, 0.7500)
Au (0.0000, 0.0000, 0.0000)



No. 4
First-principles (PBE-GGA) data for crystalline CaCdS3 at its relaxed geometry, as listed in Alexandria via LeMat-Bulk.

Summary:
E_form (uncorrected) = 7.6 kJ per mole of atoms
Magnetization = 2.25 μB/cell
SG = No. 221

Lattice parameters (Å, degrees): 5.2253 5.2253 5.2253 90.00 90.00 90.00
Fractional coordinates of all 5 atoms:
Ca (0.0000, 0.0000, 0.0000)
S (0.0000, 0.5000, 0.0000)
S (0.5000, 0.0000, 0.0000)
S (0.0000, 0.0000, 0.5000)
Cd (0.5000, 0.5000, 0.5000)



No. 5
First-principles (PBE-GGA) data for crystalline Mn5Pb3Br16 at its relaxed geometry, as listed in Alexandria via LeMat-Bulk.

Summary:
E_form (uncorrected) = -58.7 kJ per mole of atoms
Magnetization = 6.94 μB/cell
SG = No. 8

Lattice parameters (Å, degrees): 8.3134 8.3134 12.6617 88.65 88.65 57.71
Fractional coordinates of all 24 atoms:
Br (0.9647, 0.4706, 0.6599)
Br (0.4865, 0.4865, 0.1387)
Br (0.6707, 0.1929, 0.9060)
Br (0.3091, 0.3091, 0.4146)
Br (0.6431, 0.6431, 0.8972)
Br (0.8421, 0.3549, 0.4007)
Br (0.0269, 0.4833, 0.1418)
Br (0.3549, 0.8421, 0.4007)
Br (0.5147, 0.5147, 0.6694)
Br (0.1679, 0.1679, 0.8962)
Br (0.4706, 0.9647, 0.6599)
Br (0.0300, 0.0300, 0.1588)
Br (0.4833, 0.0269, 0.1418)
Br (0.0225, 0.0225, 0.6868)
Br (0.1929, 0.6707, 0.9060)
Br (0.8287, 0.8287, 0.4499)
Pb (0.1637, 0.6714, 0.2894)
Pb (0.6714, 0.1637, 0.2894)
Pb (0.8307, 0.8307, 0.7826)
Mn (0.1746, 0.1746, 0.2774)
Mn (0.6591, 0.6591, 0.5304)
Mn (0.3290, 0.3290, 0.0092)
Mn (0.8238, 0.3392, 0.7887)
Mn (0.3392, 0.8238, 0.7887)



No. 6
First-principles (PBE-GGA) data for crystalline TbCe2W2C4 at its relaxed geometry, as listed in Alexandria via LeMat-Bulk.

Summary:
Magnetization = 0.00 μB/cell
SG = No. 12
ΔH_f (0 K) = -0.02 eV/atom

Lattice parameters (Å, degrees): 3.4719 7.3126 5.9895 105.72 90.00 103.73
Fractional coordinates of all 9 atoms:
C (0.5536, 0.1071, 0.7583)
C (0.4464, 0.8929, 0.2417)
C (0.7722, 0.5444, 0.7816)
C (0.2278, 0.4556, 0.2184)
W (0.6789, 0.3578, 0.0165)
W (0.3211, 0.6422, 0.9835)
Tb (0.0000, 0.0000, 0.0000)
Ce (0.1293, 0.2585, 0.5287)
Ce (0.8707, 0.7415, 0.4713)



No. 7
First-principles (PBE-GGA) data for crystalline TbDyY5Er2 at its relaxed geometry, as listed in Alexandria via LeMat-Bulk.

Summary:
Magnetization = 0.00 μB/cell
SG = No. 36
ΔH_f (0 K) = 0.16 eV/atom

Lattice parameters (Å, degrees): 5.5964 10.3619 10.5375 90.00 90.00 105.67
Fractional coordinates of all 18 atoms:
Y (0.7001, 0.4001, 0.2056)
Y (0.2999, 0.5999, 0.7056)
Y (0.4791, 0.9583, 0.7376)
Y (0.0171, 0.0341, 0.0224)
Y (0.7208, 0.4415, 0.8148)
Y (0.9829, 0.9659, 0.5224)
Y (0.6136, 0.2272, 0.5236)
Y (0.3864, 0.7728, 0.0236)
Y (0.5209, 0.0417, 0.2376)
Y (0.2792, 0.5585, 0.3148)
Er (0.8875, 0.7750, 0.8168)
Er (0.1125, 0.2250, 0.3168)
Er (0.8899, 0.7797, 0.2379)
Er (0.1101, 0.2203, 0.7379)
Dy (0.4132, 0.8263, 0.4525)
Dy (0.5868, 0.1737, 0.9525)
Tb (0.1969, 0.3938, 0.0129)
Tb (0.8031, 0.6062, 0.5129)



No. 8
First-principles (PBE-GGA) data for crystalline RbPIN2 at its relaxed geometry, as listed in Alexandria via LeMat-Bulk.

Summary:
E_form (uncorrected) = 119.5 kJ per mole of atoms
Magnetization = 2.67 μB/cell
SG = No. 123

Lattice parameters (Å, degrees): 4.3750 4.3750 5.6584 90.00 90.00 90.00
Fractional coordinates of all 5 atoms:
N (0.5000, 0.0000, 0.0000)
N (0.0000, 0.5000, 0.0000)
Rb (0.5000, 0.5000, 0.5000)
I (0.0000, 0.0000, 0.5000)
P (0.0000, 0.0000, 0.0000)



No. 9
First-principles (PBE-GGA) data for crystalline CaAc2H6 at its relaxed geometry, as listed in Alexandria via LeMat-Bulk.

Summary:
Magnetization = 0.00 μB/cell
Raw total energy = -3.937 eV per atom
SG = No. 71

Lattice parameters (Å, degrees): 4.0589 5.7207 7.0619 113.89 106.71 90.00
Fractional coordinates of all 9 atoms:
Ac (0.6630, 0.6627, 0.3255)
Ac (0.3370, 0.3373, 0.6745)
H (0.5000, 0.2349, 0.0000)
H (0.8365, 0.0766, 0.6732)
H (0.1635, 0.9234, 0.3268)
H (0.8365, 0.5966, 0.6732)
H (0.5000, 0.7651, 0.0000)
H (0.1635, 0.4034, 0.3268)
Ca (0.0000, 0.0000, 0.0000)



No. 10
First-principles (PBE-GGA) data for crystalline Ac2Pr6Y at its relaxed geometry, as listed in Alexandria via LeMat-Bulk.

Summary:
Magnetization = 0.00 μB/cell
SG = No. 187
ΔH_f (0 K) = 0.07 eV/atom

Lattice parameters (Å, degrees): 3.7687 3.7687 27.8430 90.00 90.00 120.00
Fractional coordinates of all 9 atoms:
Pr (0.3333, 0.6667, 0.4381)
Pr (0.6667, 0.3333, 0.1043)
Pr (0.3333, 0.6667, 0.7881)
Pr (0.3333, 0.6667, 0.5619)
Pr (0.3333, 0.6667, 0.2119)
Pr (0.6667, 0.3333, 0.8957)
Ac (0.6667, 0.3333, 0.3276)
Ac (0.6667, 0.3333, 0.6724)
Y (0.3333, 0.6667, 0.0000)



No. 11
First-principles (PBE-GGA) data for crystalline CrFe2H3 at its relaxed geometry, as listed in Alexandria via LeMat-Bulk.

Summary:
Magnetization = 3.94 μB/cell
Raw total energy = -6.097 eV per atom
SG = No. 62

Lattice parameters (Å, degrees): 3.6967 5.2326 7.8783 90.00 90.00 90.00
Fractional coordinates of all 24 atoms:
H (0.7500, 0.8860, 0.4162)
H (0.7500, 0.8638, 0.0829)
H (0.2500, 0.1362, 0.9171)
H (0.2499, 0.6249, 0.2482)
H (0.2499, 0.1249, 0.2518)
H (0.2500, 0.6140, 0.9162)
H (0.7500, 0.3638, 0.4171)
H (0.2500, 0.1140, 0.5838)
H (0.7500, 0.3860, 0.0838)
H (0.2500, 0.6362, 0.5829)
H (0.7501, 0.3751, 0.7518)
H (0.7501, 0.8751, 0.7482)
Cr (0.2500, 0.8806, 0.0790)
Cr (0.2500, 0.3806, 0.4210)
Cr (0.7500, 0.6194, 0.5790)
Cr (0.7500, 0.1194, 0.9210)
Fe (0.2500, 0.8731, 0.7547)
Fe (0.2500, 0.3731, 0.7453)
Fe (0.7500, 0.1251, 0.5854)
Fe (0.7500, 0.1269, 0.2453)
Fe (0.7500, 0.6251, 0.9146)
Fe (0.2500, 0.3749, 0.0854)
Fe (0.7500, 0.6269, 0.2547)
Fe (0.2500, 0.8749, 0.4146)



No. 12
First-principles (PBE-GGA) data for crystalline BaHo2Se4 at its relaxed geometry, as listed in Alexandria via LeMat-Bulk.

Summary:
E_form (uncorrected) = -190.9 kJ per mole of atoms
Magnetization = 0.00 μB/cell
SG = No. 62

Lattice parameters (Å, degrees): 4.2002 12.8382 15.1757 90.00 90.00 90.00
Fractional coordinates of all 28 atoms:
Se (0.2500, 0.0253, 0.2834)
Se (0.2500, 0.1250, 0.5253)
Se (0.2500, 0.7056, 0.6614)
Se (0.7500, 0.7944, 0.1614)
Se (0.7500, 0.3750, 0.0253)
Se (0.7500, 0.4747, 0.7834)
Se (0.2500, 0.9149, 0.9234)
Se (0.7500, 0.9747, 0.7166)
Se (0.2500, 0.5253, 0.2166)
Se (0.7500, 0.2944, 0.3386)
Se (0.2500, 0.4149, 0.5766)
Se (0.2500, 0.2056, 0.8386)
Se (0.7500, 0.8750, 0.4747)
Se (0.2500, 0.6250, 0.9747)
Se (0.7500, 0.0851, 0.0766)
Se (0.7500, 0.5851, 0.4234)
Ho (0.7500, 0.0796, 0.4005)
Ho (0.7500, 0.5632, 0.6088)
Ho (0.2500, 0.4204, 0.9005)
Ho (0.2500, 0.9204, 0.5995)
Ho (0.2500, 0.4368, 0.3912)
Ho (0.7500, 0.5796, 0.0995)
Ho (0.2500, 0.9368, 0.1088)
Ho (0.7500, 0.0632, 0.8912)
Ba (0.7500, 0.2400, 0.6652)
Ba (0.7500, 0.7400, 0.8348)
Ba (0.2500, 0.7600, 0.3348)
Ba (0.2500, 0.2600, 0.1652)



No. 13
First-principles (PBE-GGA) data for crystalline SrMnRh2 at its relaxed geometry, as listed in Alexandria via LeMat-Bulk.

Summary:
Magnetization = 4.88 μB/cell
SG = No. 216
ΔH_f (0 K) = 0.34 eV/atom

Lattice parameters (Å, degrees): 4.7055 4.7055 4.7055 60.00 60.00 60.00
Fractional coordinates of all 4 atoms:
Rh (0.0000, 0.0000, 0.0000)
Rh (0.2500, 0.2500, 0.2500)
Mn (0.5000, 0.5000, 0.5000)
Sr (0.7500, 0.7500, 0.7500)



No. 14
First-principles (PBE-GGA) data for crystalline Dy5Y2HoEr at its relaxed geometry, as listed in Alexandria via LeMat-Bulk.

Summary:
Magnetization = 0.00 μB/cell
SG = No. 36
ΔH_f (0 K) = 0.15 eV/atom

Lattice parameters (Å, degrees): 5.5884 10.2743 10.5724 90.00 90.00 105.78
Fractional coordinates of all 18 atoms:
Dy (0.2825, 0.5649, 0.3075)
Dy (0.7003, 0.4006, 0.2070)
Dy (0.5202, 0.0404, 0.2393)
Dy (0.3910, 0.7820, 0.0223)
Dy (0.0192, 0.0384, 0.0239)
Dy (0.6090, 0.2180, 0.5223)
Dy (0.7175, 0.4351, 0.8075)
Dy (0.4798, 0.9596, 0.7393)
Dy (0.2997, 0.5994, 0.7070)
Dy (0.9808, 0.9616, 0.5239)
Ho (0.2007, 0.4013, 0.0102)
Ho (0.7993, 0.5987, 0.5102)
Y (0.1096, 0.2193, 0.7368)
Y (0.8863, 0.7725, 0.8181)
Y (0.1137, 0.2275, 0.3181)
Y (0.8904, 0.7807, 0.2368)
Er (0.5874, 0.1748, 0.9589)
Er (0.4126, 0.8252, 0.4589)



No. 15
First-principles (PBE-GGA) data for crystalline Ru2AuO3F6 at its relaxed geometry, as listed in Alexandria via LeMat-Bulk.

Summary:
E_form (uncorrected) = -114.7 kJ per mole of atoms
Magnetization = 0.00 μB/cell
SG = No. 12

Lattice parameters (Å, degrees): 7.1332 5.7131 9.4809 107.54 144.06 90.00
Fractional coordinates of all 12 atoms:
O (0.5000, 0.5000, 0.5000)
O (0.0000, 0.5000, 0.0000)
O (0.5000, 0.0000, 0.5000)
F (0.7996, 0.7740, 0.0972)
F (0.2004, 0.2260, 0.9028)
F (0.7996, 0.3232, 0.0972)
F (0.2004, 0.6768, 0.9028)
F (0.2607, 0.7858, 0.5717)
F (0.7393, 0.2142, 0.4283)
Ru (0.8079, 0.3423, 0.6846)
Ru (0.1921, 0.6577, 0.3154)
Au (0.5000, 0.0000, 0.0000)



No. 16
First-principles (PBE-GGA) data for crystalline NaSbMoI2 at its relaxed geometry, as listed in Alexandria via LeMat-Bulk.

Summary:
E_form (uncorrected) = 9.2 kJ per mole of atoms
Magnetization = 1.95 μB/cell
SG = No. 123

Lattice parameters (Å, degrees): 5.8638 5.8638 5.2315 90.00 90.00 90.00
Fractional coordinates of all 5 atoms:
Sb (0.0000, 0.0000, 0.5000)
Mo (0.0000, 0.0000, 0.0000)
I (0.0000, 0.5000, 0.0000)
I (0.5000, 0.0000, 0.0000)
Na (0.5000, 0.5000, 0.5000)



No. 17
First-principles (PBE-GGA) data for crystalline B2TeSeBr at its relaxed geometry, as listed in Alexandria via LeMat-Bulk.

Summary:
E_form (uncorrected) = 181.3 kJ per mole of atoms
Magnetization = 0.00 μB/cell
SG = No. 123

Lattice parameters (Å, degrees): 4.2317 6.9492 4.2317 90.00 90.00 90.00
Fractional coordinates of all 5 atoms:
B (0.5000, 0.0000, 0.0000)
B (0.0000, 0.0000, 0.5000)
Br (0.0000, 0.0000, 0.0000)
Te (0.5000, 0.5000, 0.5000)
Se (0.0000, 0.5000, 0.0000)



No. 18
First-principles (PBE-GGA) data for crystalline LiHgAu2 at its relaxed geometry, as listed in Alexandria via LeMat-Bulk.

Summary:
Magnetization = 0.00 μB/cell
SG = No. 216
ΔH_f (0 K) = -0.27 eV/atom

Lattice parameters (Å, degrees): 4.6899 4.6899 4.6899 60.00 60.00 60.00
Fractional coordinates of all 4 atoms:
Hg (0.5000, 0.5000, 0.5000)
Li (0.7500, 0.7500, 0.7500)
Au (0.0000, 0.0000, 0.0000)
Au (0.2500, 0.2500, 0.2500)



No. 19
First-principles (PBE-GGA) data for crystalline Ac2NdI at its relaxed geometry, as listed in Alexandria via LeMat-Bulk.

Summary:
E_form (uncorrected) = -16.2 kJ per mole of atoms
Magnetization = 1.15 μB/cell
SG = No. 166

Lattice parameters (Å, degrees): 3.8613 3.8613 12.9730 81.44 81.44 60.00
Fractional coordinates of all 4 atoms:
Nd (0.0000, 0.0000, 0.0000)
Ac (0.9049, 0.9049, 0.2852)
Ac (0.0951, 0.0951, 0.7148)
I (0.5000, 0.5000, 0.5000)



No. 20
First-principles (PBE-GGA) data for crystalline CuMoBr2 at its relaxed geometry, as listed in Alexandria via LeMat-Bulk.

Summary:
E_form (uncorrected) = 72.4 kJ per mole of atoms
Magnetization = 0.89 μB/cell
SG = No. 225

Lattice parameters (Å, degrees): 4.6294 4.6294 4.6294 60.00 60.00 60.00
Fractional coordinates of all 4 atoms:
Br (0.2500, 0.2500, 0.2500)
Br (0.7500, 0.7500, 0.7500)
Cu (0.0000, 0.0000, 0.0000)
Mo (0.5000, 0.5000, 0.5000)